(1)
# PBE Cs2ClF2, optimized geometry
# polymorph energy (0 for the lowest one) = 0 meV per atom
# formation energy from raw total energies = -185.12 kJ/mol of atoms
data_Cs2ClF2
_symmetry_space_group_name_H-M 'P 1'
_symmetry_Int_Tables_number 1
_cell_length_a 8.2447
_cell_length_b 8.2447
_cell_length_c 4.0188
_cell_angle_alpha 90.00
_cell_angle_beta 90.00
_cell_angle_gamma 90.00
loop_
_symmetry_equiv_pos_as_xyz
'x,y,z'
loop_
_atom_site_label
_atom_site_fract_x
_atom_site_fract_y
_atom_site_fract_z
Cs1 0.1639 0.3361 0.0000
Cs2 0.3361 0.8361 0.0000
Cs3 0.6639 0.1639 0.0000
Cs4 0.8361 0.6639 0.0000
Cl1 0.0000 0.0000 0.5000
Cl2 0.5000 0.5000 0.5000
F1 0.1457 0.6457 0.5000
F2 0.3543 0.1457 0.5000
F3 0.6457 0.8543 0.5000
F4 0.8543 0.3543 0.5000

---

(2)
# PBE Co2Ni2Mo, optimized geometry
# polymorph energy (0 for the lowest one) = 1 meV per atom
# E_form = 0.161 eV/atom
data_Co2Ni2Mo
_symmetry_space_group_name_H-M 'P 1'
_symmetry_Int_Tables_number 1
_cell_length_a 6.8339
_cell_length_b 6.8339
_cell_length_c 2.5593
_cell_angle_alpha 90.00
_cell_angle_beta 90.00
_cell_angle_gamma 90.00
loop_
_symmetry_equiv_pos_as_xyz
'x,y,z'
loop_
_atom_site_label
_atom_site_fract_x
_atom_site_fract_y
_atom_site_fract_z
Co1 0.1737 0.3263 0.0000
Co2 0.3263 0.8263 0.0000
Co3 0.6737 0.1737 0.0000
Co4 0.8263 0.6737 0.0000
Ni1 0.1231 0.6231 0.5000
Ni2 0.3769 0.1231 0.5000
Ni3 0.6231 0.8769 0.5000
Ni4 0.8769 0.3769 0.5000
Mo1 0.0000 0.0000 0.5000
Mo2 0.5000 0.5000 0.5000

---

(3)
# PBE Dy2ThSb3, optimized geometry
# formation energy from raw total energies = -102.69 kJ/mol of atoms
data_Dy2ThSb3
_symmetry_space_group_name_H-M 'P 1'
_symmetry_Int_Tables_number 1
_cell_length_a 4.4377
_cell_length_b 6.2827
_cell_length_c 13.2197
_cell_angle_alpha 90.00
_cell_angle_beta 90.00
_cell_angle_gamma 90.00
loop_
_symmetry_equiv_pos_as_xyz
'x,y,z'
loop_
_atom_site_label
_atom_site_fract_x
_atom_site_fract_y
_atom_site_fract_z
Dy1 0.0000 0.0000 0.1652
Dy2 0.0000 0.0000 0.8348
Dy3 0.5000 0.5000 0.3348
Dy4 0.5000 0.5000 0.6652
Th1 0.0000 0.0000 0.5000
Th2 0.5000 0.5000 0.0000
Sb1 0.0000 0.5000 0.1712
Sb2 0.0000 0.5000 0.5000
Sb3 0.0000 0.5000 0.8288
Sb4 0.5000 0.0000 0.0000
Sb5 0.5000 0.0000 0.3288
Sb6 0.5000 0.0000 0.6712

---

(4)
# PBE VB3W, optimized geometry
# polymorph energy (0 for the lowest one) = 0 meV per atom
# E_form = -0.458 eV/atom
data_VB3W
_symmetry_space_group_name_H-M 'P 1'
_symmetry_Int_Tables_number 1
_cell_length_a 9.4883
_cell_length_b 9.4883
_cell_length_c 3.0400
_cell_angle_alpha 90.00
_cell_angle_beta 90.00
_cell_angle_gamma 160.89
loop_
_symmetry_equiv_pos_as_xyz
'x,y,z'
loop_
_atom_site_label
_atom_site_fract_x
_atom_site_fract_y
_atom_site_fract_z
V1 0.2036 0.7964 0.7500
V2 0.7964 0.2036 0.2500
B1 0.3259 0.6741 0.7500
B2 0.3784 0.6216 0.2500
B3 0.4763 0.5237 0.2500
B4 0.5237 0.4763 0.7500
B5 0.6216 0.3784 0.7500
B6 0.6741 0.3259 0.2500
W1 0.0743 0.9257 0.2500
W2 0.9257 0.0743 0.7500

---

| no. | ρ (g/cm3) |
| --- | --- |
| 1 | 4.1 |
| 2 | 9.2 |
| 3 | 8.3 |
| 4 | 9.9 |